[1]
Compound: Zr2TeRh
Source: Alexandria
Functional: PBE
Structure: relaxed

The symmetry is P4/mmm. The mass density is 8.38 g/cm3. The energy relative to the lowest polymorph listed for this composition comes out at 97 meV per atom. The calculation puts the size of the total moment at 0.0000 μB per atom. The calculated volume is 20.47 A^3/atom.

Cell and atoms, written as POSCAR:
```
Zr2TeRh
1.0
3.520 0.000 0.000
0.000 3.520 0.000
0.000 0.000 6.606
Zr Te Rh
2 1 1
Direct
0.000 0.000 0.230
0.000 0.000 0.770
0.500 0.500 0.500
0.500 0.500 0.000
```

---

[2]
Compound: Nd5Tl4I
Source: Alexandria
Functional: PBE
Structure: relaxed

The symmetry is P4/mmm. The mass density is 9.18 g/cm3. The calculation puts the size of the total moment at 0.0000 μB per atom. The calculated volume is 30.12 A^3/atom.

Cell and atoms, written as POSCAR:
```
Nd5Tl4I
1.0
3.724 0.000 0.000
0.000 3.724 0.000
0.000 0.000 21.723
Nd Tl I
5 4 1
Direct
0.000 0.000 0.000
0.000 0.000 0.198
0.000 0.000 0.392
0.000 0.000 0.608
0.000 0.000 0.802
0.500 0.500 0.099
0.500 0.500 0.299
0.500 0.500 0.701
0.500 0.500 0.901
0.500 0.500 0.500
```

---

[3]
Compound: La3DyHo4
Source: Alexandria
Functional: PBE
Structure: relaxed

The symmetry is Pmn2_1. The mass density is 7.65 g/cm3. The energy relative to the lowest polymorph listed for this composition comes out at 0 meV per atom. The calculation puts the size of the total moment at 0.0000 μB per atom. The calculated volume is 33.62 A^3/atom.

Cell and atoms, written as POSCAR:
```
La3DyHo4
1.0
11.582 0.000 0.000
0.000 7.340 0.000
0.000 0.000 6.328
La Dy Ho
6 2 8
Direct
0.000 0.129 0.000
0.249 0.875 0.832
0.251 0.125 0.332
0.500 0.871 0.500
0.749 0.125 0.332
0.751 0.875 0.832
0.000 0.868 0.496
0.500 0.132 0.996
0.000 0.379 0.498
0.000 0.621 0.000
0.248 0.620 0.333
0.252 0.380 0.833
0.500 0.379 0.500
0.500 0.621 0.998
0.748 0.380 0.833
0.752 0.620 0.333
```

---

[4]
Compound: RbOsO2F
Source: Alexandria
Functional: PBE
Structure: relaxed

The symmetry is P4/mmm. The mass density is 6.04 g/cm3. The calculation puts the size of the total moment at 0.8725 μB per atom. The calculated volume is 17.98 A^3/atom.

Cell and atoms, written as POSCAR:
```
RbOsO2F
1.0
4.328 0.000 0.000
0.000 4.328 0.000
0.000 0.000 4.797
Rb Os O F
1 1 2 1
Direct
0.000 0.000 0.000
0.500 0.500 0.500
0.000 0.500 0.000
0.500 0.000 0.000
0.000 0.000 0.500
```

---

[5]
Compound: Ag7Te2Se2
Source: Alexandria
Functional: PBE
Structure: relaxed

The symmetry is Cmmm. The mass density is 7.15 g/cm3. The energy relative to the lowest polymorph listed for this composition comes out at 38 meV per atom. The calculation puts the size of the total moment at 0.0000 μB per atom. The calculated volume is 24.65 A^3/atom.

Cell and atoms, written as POSCAR:
```
Ag7Te2Se2
1.0
4.091 -4.591 0.000
4.091 4.591 0.000
0.000 0.000 7.219
Ag Te Se
7 2 2
Direct
0.000 0.000 0.000
0.000 0.500 0.286
0.000 0.500 0.714
0.500 0.000 0.286
0.500 0.000 0.714
0.500 0.500 0.302
0.500 0.500 0.698
0.287 0.713 0.000
0.713 0.287 0.000
0.213 0.213 0.500
0.787 0.787 0.500
```

---

[6]
Compound: Fe2CuSe
Source: Alexandria
Functional: PBE
Structure: relaxed

The symmetry is Cmm2. The mass density is 7.32 g/cm3. The calculation puts the size of the total moment at 1.3625 μB per atom. The calculated volume is 14.41 A^3/atom.

Cell and atoms, written as POSCAR:
```
Fe2CuSe
1.0
1.640 -2.151 0.000
1.640 2.151 0.000
0.000 0.000 8.168
Fe Cu Se
2 1 1
Direct
0.000 0.000 0.000
0.500 0.500 0.219
0.500 0.500 0.774
0.000 0.000 0.464
```

---

[7]
Compound: LaTbTm
Source: Alexandria
Functional: PBE
Structure: relaxed

The symmetry is P-6m2. The mass density is 7.92 g/cm3. The energy relative to the lowest polymorph listed for this composition comes out at 56 meV per atom. The calculation puts the size of the total moment at 0.0000 μB per atom. The calculated volume is 32.63 A^3/atom.

Cell and atoms, written as POSCAR:
```
LaTbTm
1.0
5.699 0.000 0.000
-2.849 4.935 0.000
0.000 0.000 3.481
La Tb Tm
1 1 1
Direct
0.000 0.000 0.000
0.667 0.333 0.500
0.333 0.667 0.000
```

---

[8]
Compound: Zr2InGeW
Source: Alexandria
Functional: PBE
Structure: relaxed

The symmetry is P4/mmm. The mass density is 6.85 g/cm3. The calculation puts the size of the total moment at 0.0000 μB per atom. The calculated volume is 26.83 A^3/atom.

Cell and atoms, written as POSCAR:
```
Zr2InGeW
1.0
5.055 0.000 0.000
0.000 5.055 0.000
0.000 0.000 5.250
Zr In Ge W
2 1 1 1
Direct
0.000 0.500 0.000
0.500 0.000 0.000
0.000 0.000 0.500
0.500 0.500 0.500
0.000 0.000 0.000
```

---

[9]
Compound: BaCo2
Source: Alexandria
Functional: PBE
Structure: relaxed

The symmetry is P4/mmm. The mass density is 6.56 g/cm3. The calculation puts the size of the total moment at 0.9716 μB per atom. The calculated volume is 21.52 A^3/atom.

Cell and atoms, written as POSCAR:
```
BaCo2
1.0
3.430 0.000 0.000
0.000 3.430 0.000
0.000 0.000 5.488
Ba Co
1 2
Direct
0.000 0.000 0.000
0.000 0.500 0.500
0.500 0.000 0.500
```

---

[10]
Compound: PmGa7Ni5
Source: Alexandria
Functional: PBE
Structure: relaxed

The symmetry is Imm2. The mass density is 8.14 g/cm3. The calculation puts the size of the total moment at 0.0000 μB per atom. The calculated volume is 14.54 A^3/atom.

Cell and atoms, written as POSCAR:
```
PmGa7Ni5
1.0
-2.545 4.365 4.253
2.545 -4.365 4.253
2.545 4.365 -4.253
Pm Ga Ni
1 7 5
Direct
0.000 0.000 0.000
0.212 0.508 0.703
0.323 0.979 0.344
0.340 0.340 0.000
0.635 0.979 0.656
0.644 0.644 0.000
0.763 0.263 0.500
0.805 0.508 0.297
0.229 0.729 0.500
0.507 0.000 0.013
0.507 0.494 0.507
0.987 0.000 0.493
0.987 0.494 0.987
```

---

[11]
Compound: Cd2SiBiW
Source: Alexandria
Functional: PBE
Structure: relaxed

The symmetry is P4/mmm. The mass density is 7.82 g/cm3. The calculation puts the size of the total moment at 0.7127 μB per atom. The calculated volume is 27.41 A^3/atom.

Cell and atoms, written as POSCAR:
```
Cd2SiBiW
1.0
4.886 0.000 0.000
0.000 4.886 0.000
0.000 0.000 5.741
Cd Si Bi W
2 1 1 1
Direct
0.000 0.500 0.000
0.500 0.000 0.000
0.000 0.000 0.000
0.000 0.000 0.500
0.500 0.500 0.500
```

---

[12]
Compound: InAsW2
Source: Alexandria
Functional: PBE
Structure: relaxed

The symmetry is Pmmm. The mass density is 13.15 g/cm3. The energy relative to the lowest polymorph listed for this composition comes out at 494 meV per atom. The calculation puts the size of the total moment at 0.0000 μB per atom. The calculated volume is 17.59 A^3/atom.

Cell and atoms, written as POSCAR:
```
InAsW2
1.0
3.250 0.000 0.000
0.000 4.581 0.000
0.000 0.000 4.726
In As W
1 1 2
Direct
0.000 0.000 0.000
0.500 0.000 0.500
0.000 0.500 0.500
0.500 0.500 0.000
```

---

[13]
Compound: Ho6Ag5Au
Source: Alexandria
Functional: PBE
Structure: relaxed

The symmetry is Cmmm. The mass density is 10.13 g/cm3. The calculation puts the size of the total moment at 0.0000 μB per atom. The calculated volume is 23.58 A^3/atom.

Cell and atoms, written as POSCAR:
```
Ho6Ag5Au
1.0
2.564 -7.698 0.000
2.564 7.698 0.000
0.000 0.000 7.168
Ho Ag Au
6 5 1
Direct
0.000 0.000 0.246
0.000 0.000 0.754
0.335 0.665 0.249
0.335 0.665 0.751
0.665 0.335 0.249
0.665 0.335 0.751
0.166 0.834 0.500
0.171 0.829 0.000
0.500 0.500 0.500
0.829 0.171 0.000
0.834 0.166 0.500
0.500 0.500 0.000
```

---

[14]
Compound: HoTm3Ir8
Source: Alexandria
Functional: PBE
Structure: relaxed

The symmetry is P3m1. The mass density is 17.16 g/cm3. The calculation puts the size of the total moment at 0.0000 μB per atom. The calculated volume is 17.82 A^3/atom.

Cell and atoms, written as POSCAR:
```
HoTm3Ir8
1.0
5.336 0.000 0.000
-2.668 4.621 0.000
0.000 0.000 8.671
Ho Tm Ir
1 3 8
Direct
0.000 0.000 0.000
0.000 0.000 0.367
0.667 0.333 0.499
0.667 0.333 0.866
0.163 0.326 0.682
0.163 0.837 0.682
0.333 0.667 0.433
0.333 0.667 0.933
0.504 0.007 0.183
0.504 0.496 0.183
0.674 0.837 0.682
0.993 0.496 0.183
```

---

[15]
Compound: La6Sb3P2Se
Source: Alexandria
Functional: PBE
Structure: relaxed

The symmetry is C2/m. The mass density is 5.92 g/cm3. The calculation puts the size of the total moment at 0.0000 μB per atom. The calculated volume is 31.32 A^3/atom.

Cell and atoms, written as POSCAR:
```
La6Sb3P2Se
1.0
9.721 -2.223 0.000
9.721 2.223 0.000
-2.091 0.000 8.696
La Sb P Se
6 3 2 1
Direct
0.007 0.007 0.249
0.328 0.328 0.428
0.333 0.333 0.901
0.667 0.667 0.099
0.672 0.672 0.572
0.993 0.993 0.751
0.164 0.164 0.833
0.500 0.500 0.500
0.836 0.836 0.167
0.167 0.167 0.332
0.833 0.833 0.668
0.500 0.500 0.000
```

---

[16]
Compound: NdSm4Pt2
Source: Alexandria
Functional: PBE
Structure: relaxed

The symmetry is P2_1/m. The mass density is 9.51 g/cm3. The calculation puts the size of the total moment at 0.0000 μB per atom. The calculated volume is 28.33 A^3/atom.

Cell and atoms, written as POSCAR:
```
NdSm4Pt2
1.0
7.879 0.000 0.000
0.000 6.643 0.000
-3.205 0.000 7.577
Nd Sm Pt
2 8 4
Direct
0.149 0.250 0.024
0.851 0.750 0.976
0.015 0.250 0.385
0.251 0.750 0.349
0.408 0.009 0.766
0.408 0.491 0.766
0.592 0.509 0.234
0.592 0.991 0.234
0.749 0.250 0.651
0.985 0.750 0.615
0.251 0.750 0.993
0.376 0.250 0.406
0.624 0.750 0.594
0.749 0.250 0.007
```

---

[17]
Compound: InPPt2
Source: Alexandria
Functional: PBE
Structure: relaxed

The symmetry is Immm. The mass density is 12.98 g/cm3. The energy relative to the lowest polymorph listed for this composition comes out at 303 meV per atom. The calculation puts the size of the total moment at 0.0000 μB per atom. The calculated volume is 17.14 A^3/atom.

Cell and atoms, written as POSCAR:
```
InPPt2
1.0
-1.515 2.596 4.360
1.515 -2.596 4.360
1.515 2.596 -4.360
In P Pt
1 1 2
Direct
0.000 0.000 0.000
0.500 0.500 0.000
0.279 0.779 0.500
0.721 0.221 0.500
```

---

[18]
Compound: YTmZr
Source: Alexandria
Functional: PBE
Structure: relaxed

The symmetry is Cmcm. The mass density is 6.84 g/cm3. The energy relative to the lowest polymorph listed for this composition comes out at 0 meV per atom. The calculation puts the size of the total moment at 0.0000 μB per atom. The calculated volume is 28.25 A^3/atom.

Cell and atoms, written as POSCAR:
```
YTmZr
1.0
1.723 -9.044 0.000
1.723 9.044 0.000
0.000 0.000 5.438
Y Tm Zr
2 2 2
Direct
0.214 0.786 0.750
0.786 0.214 0.250
0.102 0.898 0.250
0.898 0.102 0.750
0.449 0.551 0.250
0.551 0.449 0.750
```

---

[19]
Compound: KCd2Rh
Source: Alexandria
Functional: PBE
Structure: relaxed

The symmetry is P2/m. The mass density is 6.78 g/cm3. The energy relative to the lowest polymorph listed for this composition comes out at 347 meV per atom. The calculation puts the size of the total moment at 0.0000 μB per atom. The calculated volume is 22.46 A^3/atom.

Cell and atoms, written as POSCAR:
```
KCd2Rh
1.0
5.239 0.000 0.000
0.000 3.262 0.000
-2.247 0.000 5.256
K Cd Rh
1 2 1
Direct
0.000 0.000 0.000
0.500 0.000 0.500
0.500 0.500 0.000
0.000 0.500 0.500
```

---

[20]
Compound: Sm3Ge2Ru3C
Source: Alexandria
Functional: PBE
Structure: relaxed

The symmetry is P-62m. The mass density is 9.21 g/cm3. The calculation puts the size of the total moment at 0.0000 μB per atom. The calculated volume is 18.26 A^3/atom.

Cell and atoms, written as POSCAR:
```
Sm3Ge2Ru3C
1.0
7.233 0.000 0.000
-3.617 6.264 0.000
0.000 0.000 3.626
Sm Ge Ru C
3 2 3 1
Direct
0.000 0.627 0.000
0.373 0.373 0.000
0.627 0.000 0.000
0.333 0.667 0.500
0.667 0.333 0.500
0.000 0.217 0.500
0.217 0.000 0.500
0.783 0.783 0.500
0.000 0.000 0.000
```

---

[21]
Compound: Ti3SiCl
Source: Alexandria
Functional: PBE
Structure: relaxed

The symmetry is Pm-3m. The mass density is 4.02 g/cm3. The energy relative to the lowest polymorph listed for this composition comes out at 0 meV per atom. The calculation puts the size of the total moment at 0.1764 μB per atom. The calculated volume is 17.13 A^3/atom.

Cell and atoms, written as POSCAR:
```
Ti3SiCl
1.0
4.408 0.000 0.000
0.000 4.408 0.000
0.000 0.000 4.408
Ti Si Cl
3 1 1
Direct
0.000 0.000 0.500
0.000 0.500 0.000
0.500 0.000 0.000
0.500 0.500 0.500
0.000 0.000 0.000
```

---

[22]
Compound: RbScZnO2
Source: Alexandria
Functional: PBE
Structure: relaxed

The symmetry is P4/mmm. The mass density is 3.42 g/cm3. The calculation puts the size of the total moment at 0.0000 μB per atom. The calculated volume is 22.09 A^3/atom.

Cell and atoms, written as POSCAR:
```
RbScZnO2
1.0
4.660 0.000 0.000
0.000 4.660 0.000
0.000 0.000 5.087
Rb Sc Zn O
1 1 1 2
Direct
0.000 0.000 0.000
0.500 0.500 0.500
0.000 0.000 0.500
0.000 0.500 0.000
0.500 0.000 0.000
```

---

[23]
Compound: Li2LaCo
Source: Alexandria
Functional: PBE
Structure: relaxed

The symmetry is Cmmm. The mass density is 4.39 g/cm3. The energy relative to the lowest polymorph listed for this composition comes out at 351 meV per atom. The calculation puts the size of the total moment at 0.3899 μB per atom. The calculated volume is 20.04 A^3/atom.

Cell and atoms, written as POSCAR:
```
Li2LaCo
1.0
1.615 -2.461 0.000
1.615 2.461 0.000
0.000 0.000 10.083
Li La Co
2 1 1
Direct
0.000 0.000 0.195
0.000 0.000 0.805
0.500 0.500 0.500
0.500 0.500 0.000
```

---

[24]
Compound: InIrRu
Source: Alexandria
Functional: PBE
Structure: relaxed

The symmetry is Imm2. The mass density is 13.96 g/cm3. The energy relative to the lowest polymorph listed for this composition comes out at 146 meV per atom. The calculation puts the size of the total moment at 0.0000 μB per atom. The calculated volume is 16.18 A^3/atom.

Cell and atoms, written as POSCAR:
```
InIrRu
1.0
-1.448 1.955 4.288
1.448 -1.955 4.288
1.448 1.955 -4.288
In Ir Ru
1 1 1
Direct
0.000 0.000 0.000
0.675 0.675 0.000
0.324 0.324 0.000
```

---

[25]
Compound: SrHf2Ir
Source: Alexandria
Functional: PBE
Structure: relaxed

The symmetry is I-42d. The mass density is 7.88 g/cm3. The energy relative to the lowest polymorph listed for this composition comes out at 388 meV per atom. The calculation puts the size of the total moment at 0.0000 μB per atom. The calculated volume is 33.56 A^3/atom.

Cell and atoms, written as POSCAR:
```
SrHf2Ir
1.0
-2.770 2.770 8.746
2.770 -2.770 8.746
2.770 2.770 -8.746
Sr Hf Ir
2 4 2
Direct
0.000 0.000 0.000
0.750 0.250 0.500
0.363 0.125 0.738
0.375 0.637 0.762
0.387 0.625 0.262
0.875 0.613 0.238
0.250 0.750 0.500
0.500 0.500 0.000
```

---

How do the records compare in E? In the order shown, they have -7.44, -3.95, -4.68, -3.36, -3.02, -5.82, -4.60, -6.62, -4.80, -4.67, -3.40, -7.60, -4.18, -8.25, -6.19, -5.72, -5.10, -6.45, -2.20, -6.99, -6.12, -3.08, -3.48, -6.74, -7.02 eV per atom.